Entry 1:
The following is a PBE calculation of a relaxed SrAgRh3 crystal, from the Alexandria database.

For the energy relative to the elements, the calculation gives 1.7604 eV/atom. The space-group type is Pm-3m. The energy above the most stable polymorph in this dataset is 4.07 eV/f.u. The value obtained for the calculated volume is 120 Å³/f.u. The calculation puts the total energy at -3.56 eV per atom.

abc: 4.932 4.932 4.932
angles: 90.00 90.00 90.00
Positions (direct):
Sr 0.000 0.000 0.000
Ag 0.500 0.500 0.500
Rh 0.000 0.000 0.500
Rh 0.000 0.500 0.000
Rh 0.500 0.000 0.000


Entry 2:
The following is a PBE calculation of a relaxed SrAgRh2 crystal, from the Alexandria database.

For the energy relative to the elements, the calculation gives 0.2179 eV/atom. The space-group type is F-43m. The value obtained for the calculated volume is 78 Å³/f.u. The calculation puts the total energy at -4.59 eV per atom.

abc: 6.768 6.768 6.768
angles: 90.00 90.00 90.00
Positions (direct):
Sr 0.000 0.000 0.000
Sr 0.000 0.500 0.500
Sr 0.500 0.000 0.500
Sr 0.500 0.500 0.000
Ag 0.250 0.250 0.750
Ag 0.250 0.750 0.250
Ag 0.750 0.250 0.250
Ag 0.750 0.750 0.750
Rh 0.000 0.000 0.500
Rh 0.000 0.500 0.000
Rh 0.250 0.250 0.250
Rh 0.250 0.750 0.750
Rh 0.500 0.000 0.000
Rh 0.500 0.500 0.500
Rh 0.750 0.250 0.750
Rh 0.750 0.750 0.250


Entry 3:
The following is a PBE calculation of a relaxed Sr6Ag2Rh crystal, from the Alexandria database.

For the energy relative to the elements, the calculation gives -0.2361 eV/atom. The space-group type is P2_1/c. The value obtained for the calculated volume is 346 Å³/f.u. The calculation puts the total energy at -2.81 eV per atom.

abc: 7.404 8.531 13.195
angles: 90.00 123.84 90.00
Positions (direct):
Sr 0.108 0.168 0.438
Sr 0.108 0.332 0.938
Sr 0.282 0.692 0.438
Sr 0.282 0.808 0.938
Sr 0.389 0.037 0.252
Sr 0.389 0.463 0.752
Sr 0.611 0.537 0.248
Sr 0.611 0.963 0.748
Sr 0.718 0.192 0.062
Sr 0.718 0.308 0.562
Sr 0.892 0.668 0.062
Sr 0.892 0.832 0.562
Ag 0.201 0.116 0.756
Ag 0.201 0.384 0.256
Ag 0.799 0.616 0.744
Ag 0.799 0.884 0.244
Rh 0.500 0.000 0.500
Rh 0.500 0.500 0.000


Entry 4:
The following is a PBE calculation of a relaxed SrAgRh2 crystal, from the Alexandria database.

For the energy relative to the elements, the calculation gives 0.5016 eV/atom. The space-group type is R-3m. The value obtained for the calculated volume is 76 Å³/f.u. The calculation puts the total energy at -4.31 eV per atom.

abc: 3.084 3.084 27.728
angles: 90.00 90.00 120.00
Positions (direct):
Sr 0.000 0.000 0.000
Sr 0.333 0.667 0.667
Sr 0.667 0.333 0.333
Ag 0.000 0.000 0.500
Ag 0.333 0.667 0.167
Ag 0.667 0.333 0.833
Rh 0.000 0.000 0.247
Rh 0.000 0.000 0.753
Rh 0.333 0.667 0.420
Rh 0.333 0.667 0.913
Rh 0.667 0.333 0.087
Rh 0.667 0.333 0.580


Entry 5:
The following is a PBE calculation of a relaxed SrAgRh2 crystal, from the Alexandria database.

For the energy relative to the elements, the calculation gives 0.1700 eV/atom. The space-group type is P4/mmm. The value obtained for the calculated volume is 76 Å³/f.u. The calculation puts the total energy at -4.64 eV per atom.

abc: 4.226 4.226 4.274
angles: 90.00 90.00 90.00
Positions (direct):
Sr 0.000 0.000 0.000
Ag 0.500 0.500 0.000
Rh 0.000 0.500 0.500
Rh 0.500 0.000 0.500


Entry 6:
The following is a PBE calculation of a relaxed Sr5Ag2Rh crystal, from the Alexandria database.

For the energy relative to the elements, the calculation gives -0.2229 eV/atom. The space-group type is C2/c. The value obtained for the calculated volume is 288 Å³/f.u. The calculation puts the total energy at -2.91 eV per atom.

abc: 9.869 9.869 8.488
angles: 96.62 96.62 44.55
Positions (direct):
Sr 0.083 0.917 0.750
Sr 0.140 0.299 0.307
Sr 0.288 0.518 0.075
Sr 0.299 0.140 0.807
Sr 0.482 0.712 0.425
Sr 0.518 0.288 0.575
Sr 0.701 0.860 0.193
Sr 0.712 0.482 0.925
Sr 0.860 0.701 0.693
Sr 0.917 0.083 0.250
Ag 0.101 0.694 0.426
Ag 0.306 0.899 0.074
Ag 0.694 0.101 0.926
Ag 0.899 0.306 0.574
Rh 0.000 0.500 0.000
Rh 0.500 0.000 0.500


Q: The lowest energy relative to the elements belongs to which entry?
A: Sr6Ag2Rh


Q: Among the records above, which one has the lowest energy relative to the elements?
A: Sr6Ag2Rh


Q: calculated volume of number 4 (SrAgRh2)?
A: 76 Å³/f.u.


Q: Number 3 is which compound?
A: Sr6Ag2Rh